Arrangement P

Entry from the Alexandria database: a relaxed NaPtBr5 crystal (PBE).

Total magnetization (μB/f.u.): 0.000
DOS(E_F) (states/eV/cell): 17.184

Cell: 14.432 7.343 9.461 Å, 90.00 109.71 90.00°
Space group C2/c (No. 15)
Inequivalent atoms, fractional coordinates:
Na 0.000 0.072 0.250 x4
Pt 0.000 0.500 0.000 x4
Br 0.000 0.369 0.750 x4
Br 0.128 0.260 0.108 x8
Br 0.132 0.270 0.522 x8

Arrangement Q

Entry from the Alexandria database: a relaxed NaPtBr5 crystal (PBE).

Total magnetization (μB/f.u.): 0.000

Cell: 7.646 13.926 9.095 Å, 90.00 103.87 90.00°
Space group C2/c (No. 15)
Inequivalent atoms, fractional coordinates:
Na 0.000 0.061 0.250 x4
Pt 0.000 0.500 0.000 x4
Br 0.000 0.420 0.250 x4
Br 0.150 0.346 0.601 x8
Br 0.198 0.078 0.976 x8

Least stable of them? arrangement P.

Arrangement P

Entry from the Alexandria database: a relaxed Na2PtBr crystal (PBE).

Total magnetization (μB/f.u.): 0.082
DOS(E_F) (states/eV/cell): 17.414

Cell: 7.107 7.107 7.107 Å, 90.00 90.00 90.00°
Space group Fm-3m (No. 225)
Inequivalent atoms, fractional coordinates:
Na 0.250 0.250 0.250 x8
Pt 0.000 0.000 0.000 x4
Br 0.000 0.000 0.500 x4

Arrangement Q

Entry from the Alexandria database: a relaxed Na2PtBr crystal (PBE).

Total magnetization (μB/f.u.): 0.000
DOS(E_F) (states/eV/cell): 4.160

Cell: 7.948 7.948 5.758 Å, 90.00 90.00 90.00°
Space group I-42d (No. 122)
Inequivalent atoms, fractional coordinates:
Na 0.249 0.250 0.125 x8
Pt 0.000 0.000 0.500 x4
Br 0.000 0.000 0.000 x4

Least stable of them? arrangement P.

Arrangement P

Entry from the Alexandria database: a relaxed NaPtBr2 crystal (PBE).

Total magnetization (μB/f.u.): 0.759
DOS(E_F) (states/eV/cell): 12.103

Cell: 5.697 5.697 14.770 Å, 90.00 90.00 90.00°
Space group I-42d (No. 122)
Inequivalent atoms, fractional coordinates:
Na 0.000 0.000 0.000 x4
Pt 0.000 0.000 0.500 x4
Br 0.197 0.250 0.625 x8

Arrangement Q

Entry from the Alexandria database: a relaxed NaPtBr2 crystal (PBE).

Total magnetization (μB/f.u.): 1.000
DOS(E_F) (states/eV/cell): 19.035

Cell: 4.1987 4.1987 24.1648 Å, 90.00 90.00 120.00°
Space group R-3m (No. 166, hexagonal axes)
Inequivalent atoms, fractional coordinates:
Na 0.0000 0.0000 0.0000 x3
Pt 0.0000 0.0000 0.5000 x3
Br 0.0000 0.0000 0.4005 x6

Least stable of them? arrangement Q.